1.
VASP calculation (PBE) on an optimized crystal structure of LiPr2PaO6.

a = 5.7489 Å, b = 5.8461 Å, c = 10.5940 Å
α = 90.00°, β = 118.74°, γ = 90.00°
With the nearest neighbours (Å) after each atom.
Space group P2_1/c (No. 14)
Unique sites:
1 Li 0.0000 0.0000 0.0000 x2  4 O 2.14-2.28
2 Pr 0.1978 0.0488 0.7411 x4  6 O 2.34-2.58
3 Pa 0.5000 0.0000 0.5000 x2  6 O 2.16-2.24
4 O 0.1527 0.2165 0.4345 x4  1 Li 2.14, 1 Pa 2.18
5 O 0.1909 0.7264 0.4000 x4  1 Pa 2.24, 1 Li 2.28, 2 Pr 2.34-2.40
6 O 0.4522 0.0959 0.2919 x4  1 Pa 2.16, 1 Pr 2.36

Output
Volume in Å³/cell: 312.2
E_form (uncorrected) in eV/atom: -3.21
Magnetization in μB per atom: 0.000

---

2.
VASP calculation (PBE) on an optimized crystal structure of LiPr2Pa2O8.

a = 5.5855 Å, b = 5.6315 Å, c = 11.0802 Å
α = 90.00°, β = 90.00°, γ = 90.00°
With the nearest neighbours (Å) after each atom.
Space group Imm2 (No. 44)
Unique sites:
1 Li 0.0000 0.0000 0.0000 x2  4 O 2.21
2 Pr 0.0000 0.0000 0.2761 x2  8 O 2.47-2.53
3 Pr 0.0000 0.5000 0.0135 x2  8 O 2.46-2.47
4 Pa 0.0000 0.0000 0.7492 x2  8 O 2.32-2.45
5 Pa 0.0000 0.5000 0.5131 x2  8 O 2.34-2.35
6 O 0.2372 0.2559 0.6373 x8  2 Pa 2.32-2.35, 2 Pr 2.47-2.53, 1 Li 2.52
7 O 0.2438 0.2257 0.8924 x8  1 Li 2.21, 2 Pa 2.34-2.45, 2 Pr 2.46-2.47

Output
Volume in Å³/cell: 348.5
E_form (uncorrected) in eV/atom: -3.25
Magnetization in μB per atom: 0.080

---

3.
VASP calculation (PBE) on an optimized crystal structure of LiPrPaO4.

a = 6.9668 Å, b = 7.0771 Å, c = 10.6500 Å
α = 90.00°, β = 90.00°, γ = 90.00°
With the nearest neighbours (Å) after each atom.
Space group Imma (No. 74)
Unique sites:
1 Li 0.0000 0.2500 0.0367 x4  2 O 1.94
2 Pr 0.0000 0.0000 0.5000 x4  6 O 2.44-2.51
3 Pa 0.2500 0.2500 0.7500 x4  6 O 2.23-2.25
4 O 0.0000 0.0512 0.7269 x8  2 Pa 2.25, 1 Pr 2.44
5 O 0.2471 0.2500 0.5404 x8  1 Li 1.94

Output
Volume in Å³/cell: 525.1
E_form (uncorrected) in eV/atom: -2.92
Magnetization in μB per atom: 0.135